VASP calculation (PBE) on a geometry-optimized Nb2Te2WSe4 structure.

Unit cell a=3.5038 b=3.5038 c=21.7142 alpha=90.00 beta=90.00 gamma=120.00
Closest atoms and distances in Å follow each position.
Atoms (fractional coordinates):
Nb  0.0000  0.0000  0.9730  6 Se 2.62-2.63
Nb  0.6667  0.3333  0.6559  6 Se 2.63
Se  0.6667  0.3333  0.8959  3 Nb 2.62
Se  0.6667  0.3333  0.0502  3 Nb 2.63
Se  0.0000  0.0000  0.7330  3 Nb 2.63
Se  0.0000  0.0000  0.5787  3 Nb 2.63
Te  0.6667  0.3333  0.4149  3 W 2.74
Te  0.6667  0.3333  0.2453  3 W 2.73
W  0.0000  0.0000  0.3301  6 Te 2.73-2.74

E_tot	-58.7	eV per formula unit
SG	No. 156
formation energy without anion corrections	-599	meV/atom

VASP calculation (PBE) on a geometry-optimized Ho6Ir5Pt structure.

Unit cell a=4.7612 b=7.0649 c=7.5268 alpha=90.00 beta=71.56 gamma=90.00
Closest atoms and distances in Å follow each position.
Atoms (fractional coordinates):
Ho  0.5000  0.7474  0.0000  6 Ir 2.95-2.98, 2 Pt 2.98
Ho  0.5000  0.2526  0.0000  6 Ir 2.95-2.98, 2 Pt 2.98
Ho  0.1682  0.2507  0.6636  7 Ir 2.95-2.98, 1 Pt 2.98
Ho  0.1682  0.7493  0.6636  7 Ir 2.95-2.98, 1 Pt 2.98
Ho  0.8318  0.7493  0.3364  7 Ir 2.95-2.98, 1 Pt 2.98
Ho  0.8318  0.2507  0.3364  7 Ir 2.95-2.98, 1 Pt 2.98
Ir  0.6663  0.5000  0.6674  8 Ho 2.95-2.96
Ir  0.0000  0.5000  0.0000  8 Ho 2.95-2.98
Ir  0.3337  0.5000  0.3326  8 Ho 2.95-2.96
Ir  0.6667  0.0000  0.6666  8 Ho 2.95-2.98
Ir  0.3333  0.0000  0.3334  8 Ho 2.95-2.98
Pt  0.0000  0.0000  0.0000  8 Ho 2.98

E_tot	-88.9	eV per formula unit
SG	No. 65

VASP calculation (PBE) on a geometry-optimized PmCdAg4 structure.

Unit cell a=5.6208 b=5.6208 c=5.6208 alpha=60.00 beta=60.00 gamma=60.00
Closest atoms and distances in Å follow each position.
Atoms (fractional coordinates):
Ag  0.6255  0.1235  0.6255  6 Ag 2.80-2.82
Ag  0.6255  0.6255  0.6255  6 Ag 2.80-2.82
Ag  0.6255  0.6255  0.1235  6 Ag 2.80-2.82
Ag  0.1235  0.6255  0.6255  6 Ag 2.80-2.82
Pm  0.2500  0.2500  0.2500  12 Ag 3.30, 4 Cd 3.44
Cd  0.0000  0.0000  0.0000  12 Ag 3.29, 4 Pm 3.44

E_tot	-18.3	eV per formula unit
SG	No. 216

no.,spin magnetization (μB per formula unit)
1,0.0
2,0.0
3,0.0